Entry 1:
{
  "formula": "CaOs3N",
  "functional": "PBE",
  "state": "relaxed",
  "e_above_lowest_polymorph_mev_per_atom": 0,
  "space_group": "Pm-3m",
  "cell": [[-3.834, -1.221, 1.078], [1.422, -1.164, 3.738], [-0.794, 3.809, 1.488]],
  "species": ["Ca", "Os", "Os", "Os", "N"],
  "fractional_positions": [[0.500, 0.500, 0.500], [0.000, 0.500, 0.000], [0.000, 0.000, 0.500], [0.500, 0.000, 0.000], [0.000, 0.000, 0.000]]
}

***

Entry 2:
{
  "formula": "ZnCdFe2",
  "functional": "PBE",
  "state": "relaxed",
  "formation_energy_mev_per_atom": 141,
  "space_group": "P4mm",
  "cell": [[-2.052, -0.586, -2.128], [0.282, -2.947, 0.540], [-4.716, 0.364, 4.448]],
  "species": ["Cd", "Fe", "Fe", "Zn"],
  "fractional_positions": [[0.500, 0.500, 0.763], [0.000, 0.000, 0.052], [0.500, 0.500, 0.227], [0.000, 0.000, 0.458]]
}

***

Entry 3:
{
  "formula": "DyZr2WC4",
  "functional": "PBE",
  "state": "relaxed",
  "formation_energy_mev_per_atom": -316,
  "space_group": "Cmcm",
  "cell": [[-2.252, 0.520, 2.417], [1.356, -5.936, 0.228], [8.701, 2.280, 7.615]],
  "species": ["Dy", "Dy", "Zr", "Zr", "Zr", "Zr", "W", "W", "C", "C", "C", "C", "C", "C", "C", "C"],
  "fractional_positions": [[0.114, 0.227, 0.750], [0.886, 0.773, 0.250], [0.369, 0.738, 0.534], [0.631, 0.262, 0.034], [0.631, 0.262, 0.466], [0.369, 0.738, 0.966], [0.848, 0.695, 0.750], [0.152, 0.305, 0.250], [0.258, 0.516, 0.120], [0.742, 0.484, 0.620], [0.742, 0.484, 0.880], [0.258, 0.516, 0.380], [0.000, 0.000, 0.500], [0.000, 0.000, 0.000], [0.448, 0.896, 0.750], [0.552, 0.104, 0.250]]
}

***

Entry 4:
{
  "formula": "Pm3Sm5Dy4",
  "functional": "PBE",
  "state": "relaxed",
  "e_above_lowest_polymorph_mev_per_atom": 206,
  "formation_energy_mev_per_atom": 220,
  "space_group": "C2/m",
  "cell": [[5.973, 0.000, 0.000], [2.987, 7.591, -2.835], [2.987, -0.803, 9.242]],
  "species": ["Pm", "Pm", "Pm", "Sm", "Sm", "Sm", "Sm", "Sm", "Dy", "Dy", "Dy", "Dy"],
  "fractional_positions": [[0.520, 0.688, 0.272], [0.000, 0.500, 0.500], [0.480, 0.312, 0.728], [0.624, 0.952, 0.801], [0.500, 0.500, 0.500], [0.214, 0.459, 0.113], [0.786, 0.541, 0.887], [0.376, 0.048, 0.199], [0.860, 0.222, 0.059], [0.165, 0.047, 0.623], [0.835, 0.953, 0.377], [0.140, 0.778, 0.941]]
}

***

Entry 5:
{
  "formula": "ScS3F",
  "functional": "PBE",
  "state": "relaxed",
  "e_above_lowest_polymorph_mev_per_atom": 0,
  "space_group": "Pm-3m",
  "cell": [[-1.635, 3.006, 3.496], [-2.271, -3.754, 2.166], [4.013, -0.899, 2.650]],
  "species": ["Sc", "S", "S", "S", "F"],
  "fractional_positions": [[0.000, 0.000, 0.000], [0.000, 0.500, 0.000], [0.000, 0.000, 0.500], [0.500, 0.000, 0.000], [0.500, 0.500, 0.500]]
}

***

Entry 6:
{
  "formula": "Pr8CoIr3I3",
  "functional": "PBE",
  "state": "relaxed",
  "space_group": "C2/m",
  "energy_ev_per_atom": -5.84,
  "cell": [[8.417, -0.001, 0.002], [-4.210, 7.285, -0.025], [0.002, -4.821, 8.247]],
  "species": ["Pr", "Pr", "Pr", "Pr", "Pr", "Pr", "Pr", "Pr", "Co", "Ir", "Ir", "Ir", "I", "I", "I"],
  "fractional_positions": [[0.272, 0.543, 0.316], [0.728, 0.457, 0.684], [0.779, 0.558, 0.321], [0.221, 0.442, 0.679], [0.778, 0.042, 0.321], [0.222, 0.958, 0.679], [0.263, 0.042, 0.321], [0.737, 0.958, 0.679], [0.000, 0.000, 0.500], [0.500, 0.000, 0.500], [0.500, 0.500, 0.500], [0.000, 0.500, 0.500], [0.000, 0.000, 0.000], [0.000, 0.500, 0.000], [0.500, 0.500, 0.000]]
}

***

Entry 7:
{
  "formula": "LiZr2Tl2Te6",
  "functional": "PBE",
  "state": "relaxed",
  "space_group": "C2/m",
  "energy_ev_per_atom": -4.54,
  "cell": [[7.196, -0.019, 0.063], [-3.573, 6.246, 0.063], [-1.290, -2.218, 8.103]],
  "species": ["Li", "Zr", "Zr", "Tl", "Tl", "Te", "Te", "Te", "Te", "Te", "Te"],
  "fractional_positions": [[0.000, 0.000, 0.500], [0.332, 0.668, 0.500], [0.668, 0.332, 0.500], [0.832, 0.168, 0.000], [0.168, 0.832, 0.000], [0.728, 0.728, 0.705], [0.071, 0.409, 0.708], [0.272, 0.272, 0.295], [0.409, 0.071, 0.708], [0.929, 0.591, 0.292], [0.591, 0.929, 0.292]]
}

***

Entry 8:
{
  "formula": "PaInCl6",
  "functional": "PBE",
  "state": "relaxed",
  "space_group": "C2/m",
  "energy_ev_per_atom": -4.55,
  "cell": [[-1.550, 6.905, -1.583], [-6.227, 1.363, 3.743], [0.105, 2.481, 6.570]],
  "species": ["Pa", "In", "Cl", "Cl", "Cl", "Cl", "Cl", "Cl"],
  "fractional_positions": [[0.500, 0.500, 0.000], [0.000, 0.000, 0.000], [0.714, 0.451, 0.702], [0.714, 0.153, 0.298], [0.286, 0.847, 0.702], [0.286, 0.549, 0.298], [0.713, 0.730, 0.000], [0.287, 0.270, 0.000]]
}

***

Entry 9:
{
  "formula": "Tb2SmScS6",
  "functional": "PBE",
  "state": "relaxed",
  "space_group": "R3",
  "energy_ev_per_atom": -6.50,
  "cell": [[6.873, 0.000, 0.000], [3.437, 5.952, 0.000], [3.437, 1.985, 6.122]],
  "species": ["Tb", "Tb", "Sm", "Sc", "S", "S", "S", "S", "S", "S"],
  "fractional_positions": [[0.520, 0.520, 0.439], [0.016, 0.016, 0.953], [0.813, 0.813, 0.560], [0.320, 0.320, 0.040], [0.596, 0.216, 0.249], [0.216, 0.939, 0.249], [0.939, 0.596, 0.249], [0.411, 0.706, 0.759], [0.706, 0.124, 0.759], [0.124, 0.411, 0.759]]
}

***

Entry 10:
{
  "formula": "TlH3N",
  "functional": "PBE",
  "state": "relaxed",
  "e_above_lowest_polymorph_mev_per_atom": 1337,
  "space_group": "Pm-3m",
  "cell": [[-1.246, 0.663, -3.221], [3.066, -1.010, -1.395], [-1.188, -3.302, -0.221]],
  "species": ["H", "H", "H", "Tl", "N"],
  "fractional_positions": [[0.000, 0.500, 0.000], [0.000, 0.000, 0.500], [0.500, 0.000, 0.000], [0.500, 0.500, 0.500], [0.000, 0.000, 0.000]]
}

***

Entry 11:
{
  "formula": "Tm8As3P3S",
  "functional": "PBE",
  "state": "relaxed",
  "space_group": "R-3m",
  "energy_ev_per_atom": -6.17,
  "cell": [[-7.131, 0.990, 3.261], [0.751, -4.178, -6.667], [2.717, -2.946, 6.838]],
  "species": ["Tm", "Tm", "Tm", "Tm", "Tm", "Tm", "Tm", "Tm", "As", "As", "As", "P", "P", "P", "S"],
  "fractional_positions": [[0.253, 0.505, 0.258], [0.747, 0.495, 0.742], [0.751, 0.502, 0.256], [0.249, 0.498, 0.744], [0.751, 0.006, 0.257], [0.249, 0.994, 0.743], [0.255, 0.006, 0.257], [0.745, 0.994, 0.743], [0.000, 0.000, 0.000], [0.000, 0.500, 0.000], [0.500, 0.500, 0.000], [0.500, 0.000, 0.500], [0.500, 0.500, 0.500], [0.000, 0.500, 0.500], [0.000, 0.000, 0.500]]
}

***

Entry 12:
{
  "formula": "Y3SiAu",
  "functional": "PBE",
  "state": "relaxed",
  "e_above_lowest_polymorph_mev_per_atom": 0,
  "space_group": "Pm-3m",
  "cell": [[-0.572, 3.698, -3.797], [2.326, -3.257, -3.522], [-4.763, -2.035, -1.264]],
  "species": ["Y", "Y", "Y", "Si", "Au"],
  "fractional_positions": [[0.000, 0.500, 0.000], [0.000, 0.000, 0.500], [0.500, 0.000, 0.000], [0.000, 0.000, 0.000], [0.500, 0.500, 0.500]]
}

***

Entry 13:
{
  "formula": "PuPaHgPd",
  "functional": "PBE",
  "state": "relaxed",
  "formation_energy_mev_per_atom": -64,
  "space_group": "F-43m",
  "cell": [[-1.983, -1.903, -4.331], [-4.139, -3.025, 0.187], [-4.514, 1.720, -1.726]],
  "species": ["Pa", "Hg", "Pd", "Pu"],
  "fractional_positions": [[0.250, 0.250, 0.250], [0.500, 0.500, 0.500], [0.000, 0.000, 0.000], [0.750, 0.750, 0.750]]
}

***

Entry 14:
{
  "formula": "Li2La2Tl",
  "functional": "PBE",
  "state": "relaxed",
  "e_above_lowest_polymorph_mev_per_atom": 281,
  "formation_energy_mev_per_atom": 142,
  "space_group": "P4/mbm",
  "cell": [[8.709, 0.000, 0.000], [0.000, 8.709, 0.000], [0.000, 0.000, 3.856]],
  "species": ["Tl", "Tl", "Li", "Li", "Li", "Li", "La", "La", "La", "La"],
  "fractional_positions": [[0.000, 0.000, 0.000], [0.500, 0.500, 0.000], [0.171, 0.671, 0.500], [0.671, 0.829, 0.500], [0.829, 0.329, 0.500], [0.329, 0.171, 0.500], [0.373, 0.873, 0.000], [0.873, 0.627, 0.000], [0.627, 0.127, 0.000], [0.127, 0.373, 0.000]]
}

***

Entry 15:
{
  "formula": "MgCd3Fe",
  "functional": "PBE",
  "state": "relaxed",
  "e_above_lowest_polymorph_mev_per_atom": 0,
  "formation_energy_mev_per_atom": 502,
  "space_group": "Pm-3m",
  "cell": [[-1.626, -4.033, 2.540], [2.944, 1.260, 3.887], [-3.748, 2.740, 1.951]],
  "species": ["Mg", "Fe", "Cd", "Cd", "Cd"],
  "fractional_positions": [[0.500, 0.500, 0.500], [0.000, 0.000, 0.000], [0.000, 0.500, 0.000], [0.000, 0.000, 0.500], [0.500, 0.000, 0.000]]
}

***

Entry 16:
{
  "formula": "BaCaBi3",
  "functional": "PBE",
  "state": "relaxed",
  "e_above_lowest_polymorph_mev_per_atom": 465,
  "formation_energy_mev_per_atom": -230,
  "space_group": "Pm-3m",
  "cell": [[5.895, 0.000, 0.000], [0.000, 5.895, 0.000], [0.000, 0.000, 5.895]],
  "species": ["Ca", "Bi", "Bi", "Bi", "Ba"],
  "fractional_positions": [[0.000, 0.000, 0.000], [0.000, 0.500, 0.000], [0.000, 0.000, 0.500], [0.500, 0.000, 0.000], [0.500, 0.500, 0.500]]
}

***

Entry 17:
{
  "formula": "SiSbPt",
  "functional": "PBE",
  "state": "relaxed",
  "space_group": "Pbca",
  "energy_ev_per_atom": -5.69,
  "cell": [[-3.811, 3.357, -3.890], [-4.600, -4.414, 0.697], [-4.194, 5.812, 9.126]],
  "species": ["Si", "Si", "Si", "Si", "Si", "Si", "Si", "Si", "Sb", "Sb", "Sb", "Sb", "Sb", "Sb", "Sb", "Sb", "Pt", "Pt", "Pt", "Pt", "Pt", "Pt", "Pt", "Pt"],
  "fractional_positions": [[0.854, 0.265, 0.426], [0.354, 0.235, 0.574], [0.146, 0.765, 0.074], [0.646, 0.735, 0.926], [0.146, 0.735, 0.574], [0.646, 0.765, 0.426], [0.854, 0.235, 0.926], [0.354, 0.265, 0.074], [0.117, 0.006, 0.327], [0.617, 0.494, 0.673], [0.883, 0.506, 0.173], [0.383, 0.994, 0.827], [0.883, 0.994, 0.673], [0.383, 0.506, 0.327], [0.117, 0.494, 0.827], [0.617, 0.006, 0.173], [0.512, 0.118, 0.393], [0.012, 0.382, 0.607], [0.488, 0.618, 0.107], [0.988, 0.882, 0.893], [0.488, 0.882, 0.607], [0.988, 0.618, 0.393], [0.512, 0.382, 0.893], [0.012, 0.118, 0.107]]
}

***

Entry 18:
{
  "formula": "OsSeCl2",
  "functional": "PBE",
  "state": "relaxed",
  "e_above_lowest_polymorph_mev_per_atom": 1456,
  "space_group": "I4/mmm",
  "cell": [[5.079, 0.001, 0.000], [1.492, 4.855, 0.000], [-3.285, -2.428, 3.018]],
  "species": ["Os", "Se", "Cl", "Cl"],
  "fractional_positions": [[0.250, 0.750, 0.500], [0.750, 0.250, 0.500], [0.000, 0.000, 0.000], [0.500, 0.500, 0.000]]
}

***

Entry 19:
{
  "formula": "TiFeAg2P",
  "functional": "PBE",
  "state": "relaxed",
  "formation_energy_mev_per_atom": 541,
  "space_group": "P4/mmm",
  "cell": [[-2.333, -3.588, -1.725], [2.739, 0.025, -3.757], [2.909, -2.902, 2.101]],
  "species": ["P", "Fe", "Ag", "Ag", "Ti"],
  "fractional_positions": [[0.000, 0.000, 0.000], [0.500, 0.500, 0.500], [0.000, 0.000, 0.500], [0.500, 0.000, 0.000], [0.000, 0.500, 0.000]]
}

***

Entry 20:
{
  "formula": "AcNdGaAu",
  "functional": "PBE",
  "state": "relaxed",
  "formation_energy_mev_per_atom": -583,
  "space_group": "F-43m",
  "cell": [[5.420, 0.000, 0.000], [2.710, 4.693, 0.000], [2.710, 1.564, 4.425]],
  "species": ["Nd", "Ac", "Au", "Ga"],
  "fractional_positions": [[0.000, 0.000, 0.000], [0.500, 0.500, 0.500], [0.250, 0.250, 0.250], [0.750, 0.750, 0.750]]
}

***

Entry 21:
{
  "formula": "CaScZn4",
  "functional": "PBE",
  "state": "relaxed",
  "e_above_lowest_polymorph_mev_per_atom": 18,
  "formation_energy_mev_per_atom": -267,
  "space_group": "F-43m",
  "cell": [[5.389, 0.000, 0.000], [2.695, 4.667, 0.000], [2.695, 1.556, 4.400]],
  "species": ["Ca", "Sc", "Zn", "Zn", "Zn", "Zn"],
  "fractional_positions": [[0.250, 0.250, 0.250], [0.000, 0.000, 0.000], [0.122, 0.626, 0.626], [0.626, 0.626, 0.626], [0.626, 0.122, 0.626], [0.626, 0.626, 0.122]]
}

***

Entry 22:
{
  "formula": "Pr6CoOs2I3",
  "functional": "PBE",
  "state": "relaxed",
  "space_group": "C2/m",
  "energy_ev_per_atom": -5.76,
  "cell": [[-1.492, -6.366, 3.079], [0.890, 0.429, -7.159], [8.240, 0.538, 2.274]],
  "species": ["Pr", "Pr", "Pr", "Pr", "Pr", "Pr", "Co", "Os", "Os", "I", "I", "I"],
  "fractional_positions": [[0.938, 0.607, 0.814], [0.732, 0.732, 0.186], [0.062, 0.393, 0.186], [0.607, 0.938, 0.814], [0.268, 0.268, 0.814], [0.393, 0.062, 0.186], [0.000, 0.000, 0.000], [0.334, 0.666, 0.000], [0.666, 0.334, 0.000], [0.168, 0.832, 0.500], [0.832, 0.168, 0.500], [0.500, 0.500, 0.500]]
}

***

Entry 23:
{
  "formula": "Tl2InOsW",
  "functional": "PBE",
  "state": "relaxed",
  "formation_energy_mev_per_atom": 1875,
  "space_group": "P4/mmm",
  "cell": [[5.175, 0.000, 0.000], [0.000, 5.100, 0.000], [0.000, 0.000, 5.175]],
  "species": ["Tl", "Tl", "Os", "W", "In"],
  "fractional_positions": [[0.000, 0.000, 0.500], [0.500, 0.000, 0.000], [0.000, 0.000, 0.000], [0.500, 0.500, 0.500], [0.000, 0.500, 0.000]]
}

***

Entry 24:
{
  "formula": "KMn2P",
  "functional": "PBE",
  "state": "relaxed",
  "formation_energy_mev_per_atom": 795,
  "space_group": "C2/m",
  "cell": [[5.849, 0.193, -0.018], [-2.665, 4.701, 0.049], [0.712, 0.341, 2.751]],
  "species": ["K", "Mn", "Mn", "P"],
  "fractional_positions": [[0.500, 0.000, 0.500], [0.000, 0.000, 0.000], [0.000, 0.500, 0.500], [0.500, 0.500, 0.000]]
}

***

no.,DOS at the Fermi energy (states/eV per cell)
1,3.61
2,2.84
3,6.30
4,19.25
5,6.68
6,7.07
7,4.62
8,0.00
9,0.00
10,0.97
11,6.54
12,3.28
13,13.36
14,13.35
15,3.82
16,3.77
17,0.92
18,3.28
19,4.87
20,3.81
21,4.07
22,6.16
23,11.54
24,2.52